## La2Al6CuAu (PBE)

Data for a relaxed La2Al6CuAu crystal.

Output
Energy relative to the elements in eV per atom: -0.572
Total moment in μB/f.u.: 0.00
Energy in eV/atom: -4.540

Unit cell a=4.336 b=4.336 c=10.876 alpha=90.00 beta=90.00 gamma=90.00
Fractional positions:
La (0.000, 0.000, 0.997)
Al (0.000, 0.500, 0.755)
Al (0.500, 0.000, 0.755)
Al (0.000, 0.000, 0.395)
Al (0.000, 0.500, 0.244)
La (0.500, 0.500, 0.488)
Au (0.000, 0.000, 0.627)
Al (0.500, 0.500, 0.908)
Cu (0.500, 0.500, 0.131)
Al (0.500, 0.000, 0.244)


## LaAl2CuAu (PBE)

Data for a relaxed LaAl2CuAu crystal.

Output
Energy relative to the elements in eV per atom: 1.338
Total moment in μB/f.u.: 0.00
Energy in eV/atom: -2.619

Unit cell a=5.862 b=5.140 c=5.862 alpha=90.00 beta=90.00 gamma=90.00
Fractional positions:
Al (0.000, 0.000, 0.500)
Al (0.500, 0.000, 0.000)
Au (0.500, 0.500, 0.500)
La (0.000, 0.000, 0.000)
Cu (0.000, 0.500, 0.000)


## LaAl4CuAu2 (PBE)

Data for a relaxed LaAl4CuAu2 crystal.

Output
Energy relative to the elements in eV per atom: -0.447
Total moment in μB/f.u.: 0.00
Energy in eV/atom: -4.266

Unit cell a=4.357 b=4.357 c=9.463 alpha=76.69 beta=76.69 gamma=60.00
Fractional positions:
Au (0.237, 0.237, 0.289)
Al (0.405, 0.405, 0.784)
Al (0.132, 0.132, 0.605)
Au (0.763, 0.763, 0.711)
Al (0.595, 0.595, 0.216)
Cu (0.500, 0.500, 0.500)
La (0.000, 0.000, 0.000)
Al (0.868, 0.868, 0.395)


## La2Al3Cu12Au (PBE)

Data for a relaxed La2Al3Cu12Au crystal.

Output
Energy relative to the elements in eV per atom: 0.044
Total moment in μB/f.u.: 0.00
Energy in eV/atom: -4.040

Unit cell a=10.061 b=10.061 c=10.061 alpha=35.53 beta=35.53 gamma=35.53
Fractional positions:
Cu (0.418, 0.809, 0.418)
Cu (0.930, 0.930, 0.361)
Cu (0.809, 0.418, 0.418)
Cu (0.361, 0.930, 0.930)
Cu (0.418, 0.418, 0.809)
Cu (0.582, 0.582, 0.191)
Cu (0.191, 0.582, 0.582)
Cu (0.070, 0.070, 0.639)
Cu (0.582, 0.191, 0.582)
Au (0.000, 0.000, 0.000)
La (0.650, 0.650, 0.650)
Al (0.500, 0.000, 0.000)
Al (0.000, 0.500, 0.000)
La (0.350, 0.350, 0.350)
Cu (0.070, 0.639, 0.070)
Cu (0.639, 0.070, 0.070)
Cu (0.930, 0.361, 0.930)
Al (0.000, 0.000, 0.500)


## La2Al3CuAu4 (PBE)

Data for a relaxed La2Al3CuAu4 crystal.

Output
Energy relative to the elements in eV per atom: -0.666
Total moment in μB/f.u.: 0.00
Energy in eV/atom: -4.495

Unit cell a=4.514 b=4.514 c=10.307 alpha=90.00 beta=90.00 gamma=90.00
Fractional positions:
Al (0.000, 0.000, 0.500)
La (0.000, 0.500, 0.743)
La (0.500, 0.000, 0.257)
Au (0.500, 0.000, 0.628)
Au (0.500, 0.500, 0.000)
Al (0.000, 0.500, 0.128)
Cu (0.500, 0.500, 0.500)
Au (0.000, 0.000, 0.000)
Al (0.500, 0.000, 0.872)
Au (0.000, 0.500, 0.372)


## LiAlCuAu (PBE)

Data for a relaxed LiAlCuAu crystal.

Output
Energy relative to the elements in eV per atom: -0.396
Total moment in μB/f.u.: 0.00
Energy in eV/atom: -3.654

Unit cell a=4.322 b=4.322 c=4.322 alpha=60.00 beta=60.00 gamma=60.00
Fractional positions:
Al (0.250, 0.250, 0.250)
Li (0.750, 0.750, 0.750)
Au (0.000, 0.000, 0.000)
Cu (0.500, 0.500, 0.500)


## Na2AlCuAu6 (PBE)

Data for a relaxed Na2AlCuAu6 crystal.

Output
Energy relative to the elements in eV per atom: -0.014
Total moment in μB/f.u.: 0.00
Energy in eV/atom: -3.028

Unit cell a=6.949 b=6.949 c=6.949 alpha=60.00 beta=60.00 gamma=90.00
Fractional positions:
Au (0.251, 0.251, 0.499)
Na (0.250, 0.750, 0.500)
Au (0.749, 0.749, 0.000)
Cu (0.000, 0.000, 0.000)
Au (0.749, 0.251, 0.000)
Au (0.749, 0.749, 0.501)
Au (0.251, 0.749, 0.000)
Au (0.251, 0.251, 0.000)
Na (0.750, 0.250, 0.500)
Al (0.500, 0.500, 0.000)


## NdAlCuAu (PBE)

Data for a relaxed NdAlCuAu crystal.

Output
Energy relative to the elements in eV per atom: -0.446
Total moment in μB/f.u.: 0.00
Energy in eV/atom: -4.416

Unit cell a=4.830 b=4.830 c=4.830 alpha=60.00 beta=60.00 gamma=60.00
Fractional positions:
Au (0.000, 0.000, 0.000)
Cu (0.500, 0.500, 0.500)
Nd (0.750, 0.750, 0.750)
Al (0.250, 0.250, 0.250)